Below is PmPu2Hg3 after structural relaxation, with properties calculated at the PBE-GGA level.

Unit cell a=5.351 b=5.351 c=6.533 alpha=90.00 beta=90.00 gamma=120.00
Site moments in Bohr magnetons follow the coordinates.
Fractional coordinates of all 6 atoms:
Hg 0.000 0.000 0.500  0.04
Hg 0.667 0.333 0.848  0.02
Hg 0.333 0.667 0.152  0.02
Pm 0.000 0.000 0.000  0.08
Pu 0.667 0.333 0.354  5.55
Pu 0.333 0.667 0.646  5.55

The formation energy is -0.225 eV/atom. For the total DFT energy (no corrections), the calculation gives -5.945 eV/atom. The density comes out at 12.66 g/cm³. The value obtained for the polymorph energy (0 for the lowest one) is 0 meV/atom.



Below is Pm5PuHg6 after structural relaxation, with properties calculated at the PBE-GGA level.

Unit cell a=5.367 b=9.306 c=9.306 alpha=119.85 beta=106.77 gamma=106.77
Site moments in Bohr magnetons follow the coordinates.
Fractional coordinates of all 12 atoms:
Pm 0.500 0.839 0.161  0.20
Pm 0.500 0.161 0.839  0.20
Pm 0.000 0.669 0.331  0.15
Pm 0.500 0.500 0.500  0.17
Pm 0.000 0.331 0.669  0.15
Hg 0.254 0.086 0.421  0.02
Hg 0.746 0.914 0.579  0.02
Hg 0.746 0.579 0.914  0.02
Hg 0.758 0.258 0.258  0.02
Hg 0.254 0.421 0.086  0.02
Hg 0.242 0.742 0.742  0.02
Pu 0.000 0.000 0.000  5.58

The formation energy is -0.413 eV/atom. For the total DFT energy (no corrections), the calculation gives -3.738 eV/atom. The density comes out at 10.95 g/cm³.